[1]
The following is a DFT calculation (PBE) of crystalline Pr5Nd6Er2 at its relaxed geometry.

Summary:
formation energy from the elements	0.089	eV/atom
N(E_F)	15.5	states/eV/f.u.
DFT total energy	-4.65	eV per atom

a b c (Å): 3.673 11.856 21.116
angles (deg): 90.00 90.00 90.00
Fractional coordinates of all 26 atoms:
Pr  0.500  0.303  0.445
Pr  0.500  0.697  0.555
Pr  0.500  0.803  0.055
Pr  0.500  0.197  0.945
Pr  0.500  0.586  0.273
Pr  0.500  0.414  0.727
Pr  0.500  0.086  0.227
Pr  0.500  0.914  0.773
Pr  0.500  0.500  0.000
Pr  0.500  0.000  0.500
Nd  0.000  0.082  0.368
Nd  0.000  0.918  0.632
Nd  0.000  0.582  0.132
Nd  0.000  0.418  0.868
Nd  0.500  0.326  0.140
Nd  0.500  0.674  0.860
Nd  0.500  0.826  0.360
Nd  0.500  0.174  0.640
Nd  0.000  0.564  0.419
Nd  0.000  0.436  0.581
Nd  0.000  0.064  0.081
Nd  0.000  0.936  0.919
Er  0.000  0.329  0.289
Er  0.000  0.671  0.711
Er  0.000  0.829  0.211
Er  0.000  0.171  0.789

=====

[2]
The following is a DFT calculation (PBE) of crystalline V8Ir at its relaxed geometry.

Summary:
formation energy from the elements	-0.045	eV/atom
N(E_F)	12.0	states/eV/f.u.
DFT total energy	-9.13	eV per atom
energy relative to the lowest polymorph listed for this composition	0.179	eV per atom

a b c (Å): 4.443 5.726 5.726
angles (deg): 81.34 67.17 67.17
Fractional coordinates of all 9 atoms:
V  0.334  0.000  0.332
V  0.666  0.000  0.668
V  0.664  0.336  0.336
V  0.334  0.332  0.000
V  0.000  0.336  0.664
V  0.666  0.668  0.000
V  0.336  0.664  0.664
V  0.000  0.664  0.336
Ir  0.000  0.000  0.000

=====

[3]
The following is a DFT calculation (PBE) of crystalline Er6CoBi2 at its relaxed geometry.

Summary:
formation energy from the elements	-0.461	eV/atom
N(E_F)	10.7	states/eV/f.u.
DFT total energy	-5.15	eV per atom

a b c (Å): 4.067 8.318 8.318
angles (deg): 120.00 90.00 90.00
Fractional coordinates of all 9 atoms:
Co  0.500  0.000  0.000
Bi  0.000  0.667  0.333
Bi  0.000  0.333  0.667
Er  0.500  0.391  0.391
Er  0.500  0.609  0.000
Er  0.500  0.000  0.609
Er  0.000  0.769  0.769
Er  0.000  0.231  0.000
Er  0.000  0.000  0.231

=====

[4]
The following is a DFT calculation (PBE) of crystalline PuTl2Br2F4 at its relaxed geometry.

Summary:
N(E_F)	3.1	states/eV/f.u.
energy relative to the elements, uncorrected	-2.193	eV/atom
DFT total energy	-5.51	eV per atom

a b c (Å): 7.085 7.085 7.085
angles (deg): 86.68 121.94 121.94
Fractional coordinates of all 9 atoms:
Pu  0.000  0.000  0.000
Tl  0.500  0.750  0.250
Tl  0.500  0.250  0.750
Br  0.000  0.723  0.723
Br  0.000  0.277  0.277
F  0.000  0.784  0.216
F  0.567  0.784  0.784
F  0.000  0.216  0.784
F  0.433  0.216  0.216

=====

[5]
The following is a DFT calculation (PBE) of crystalline AcBiH at its relaxed geometry.

Summary:
N(E_F)	2.6	states/eV/f.u.
DFT total energy	-4.37	eV per atom
energy relative to the lowest polymorph listed for this composition	0.019	eV per atom

a b c (Å): 4.592 7.959 9.305
angles (deg): 65.05 90.00 90.00
Fractional coordinates of all 12 atoms:
H  0.750  0.128  0.370
H  0.750  0.628  0.870
H  0.250  0.372  0.130
H  0.250  0.872  0.630
Ac  0.250  0.233  0.444
Ac  0.750  0.767  0.556
Ac  0.250  0.733  0.944
Ac  0.750  0.267  0.056
Bi  0.250  0.912  0.244
Bi  0.250  0.412  0.744
Bi  0.750  0.588  0.256
Bi  0.750  0.088  0.756

=====

[6]
The following is a DFT calculation (PBE) of crystalline BaLaP2 at its relaxed geometry.

Summary:
formation energy from the elements	-1.023	eV/atom
N(E_F)	6.6	states/eV/f.u.
DFT total energy	-5.44	eV per atom
energy relative to the lowest polymorph listed for this composition	0.071	eV per atom

a b c (Å): 4.339 4.339 8.106
angles (deg): 74.47 74.47 60.00
Fractional coordinates of all 4 atoms:
Ba  0.497  0.497  0.508
La  0.669  0.669  0.994
P  0.073  0.073  0.781
P  0.261  0.261  0.217

=====

[7]
The following is a DFT calculation (PBE) of crystalline DyThTlAu at its relaxed geometry.

Summary:
formation energy from the elements	-0.393	eV/atom
N(E_F)	3.3	states/eV/f.u.
DFT total energy	-4.81	eV per atom
energy relative to the lowest polymorph listed for this composition	0.088	eV per atom

a b c (Å): 5.332 5.332 5.332
angles (deg): 60.00 60.00 60.00
Fractional coordinates of all 4 atoms:
Tl  0.000  0.000  0.000
Au  0.500  0.500  0.500
Th  0.250  0.250  0.250
Dy  0.750  0.750  0.750

=====

[8]
The following is a DFT calculation (PBE) of crystalline HfFeCoB2 at its relaxed geometry.

Summary:
formation energy from the elements	-0.620	eV/atom
N(E_F)	3.7	states/eV/f.u.
DFT total energy	-8.40	eV per atom

a b c (Å): 3.464 3.464 4.918
angles (deg): 110.62 110.62 90.00
Fractional coordinates of all 5 atoms:
Hf  0.000  0.000  0.000
Fe  0.750  0.250  0.500
Co  0.250  0.750  0.500
B  0.615  0.615  0.230
B  0.385  0.385  0.770

=====

[9]
The following is a DFT calculation (PBE) of crystalline K3TbU2Se6 at its relaxed geometry.

Summary:
N(E_F)	9.0	states/eV/f.u.
energy relative to the elements, uncorrected	-1.399	eV/atom
DFT total energy	-5.68	eV per atom

a b c (Å): 7.314 7.314 8.108
angles (deg): 98.65 98.65 120.00
Fractional coordinates of all 12 atoms:
K  0.166  0.834  0.500
K  0.834  0.166  0.500
K  0.500  0.500  0.500
Tb  0.000  0.000  0.000
U  0.333  0.667  0.000
U  0.667  0.333  0.000
Se  0.931  0.598  0.792
Se  0.736  0.736  0.208
Se  0.069  0.402  0.208
Se  0.598  0.931  0.792
Se  0.264  0.264  0.792
Se  0.402  0.069  0.208

=====

[10]
The following is a DFT calculation (PBE) of crystalline KGeIN2 at its relaxed geometry.

Summary:
N(E_F)	2.9	states/eV/f.u.
energy relative to the elements, uncorrected	1.941	eV/atom
DFT total energy	-2.84	eV per atom
energy relative to the lowest polymorph listed for this composition	1.026	eV per atom

a b c (Å): 5.032 5.032 6.710
angles (deg): 90.00 90.00 90.00
Fractional coordinates of all 5 atoms:
I  0.000  0.000  0.500
Ge  0.500  0.500  0.500
K  0.000  0.000  0.000
N  0.000  0.500  0.000
N  0.500  0.000  0.000

=====

[11]
The following is a DFT calculation (PBE) of crystalline ErPd2Au at its relaxed geometry.

Summary:
formation energy from the elements	-0.772	eV/atom
N(E_F)	1.1	states/eV/f.u.
DFT total energy	-5.33	eV per atom
energy relative to the lowest polymorph listed for this composition	0.109	eV per atom

a b c (Å): 4.699 4.699 4.699
angles (deg): 60.00 60.00 60.00
Fractional coordinates of all 4 atoms:
Au  0.500  0.500  0.500
Pd  0.250  0.250  0.250
Pd  0.750  0.750  0.750
Er  0.000  0.000  0.000

=====

[12]
The following is a DFT calculation (PBE) of crystalline SiAsRh2 at its relaxed geometry.

Summary:
N(E_F)	2.2	states/eV/f.u.
energy relative to the elements, uncorrected	-0.432	eV/atom
DFT total energy	-6.63	eV per atom

a b c (Å): 4.610 4.610 4.376
angles (deg): 76.38 76.38 40.27
Fractional coordinates of all 4 atoms:
As  0.253  0.253  0.190
Rh  0.989  0.989  0.055
Rh  0.767  0.767  0.664
Si  0.491  0.491  0.590